# YTaF2

An optimized crystal structure of YTaF2 (PBE-GGA, Alexandria via LeMat-Bulk).

abc: 6.295 6.295 6.295
angles: 130.07 130.07 73.30
Element x y z (fractional)
Y 0.000 0.000 0.000
Y 0.750 0.250 0.500
Ta 0.250 0.750 0.500
Ta 0.500 0.500 0.000
F 0.105 0.625 0.980
F 0.375 0.355 0.480
F 0.645 0.125 0.020
F 0.875 0.895 0.520

Results
symmetry = No. 122
density = 7.170 g/cm³
E_form (uncorrected) = -1.2741 eV/atom